Fe2AgPb at its PBEsol-relaxed geometry. Source: Alexandria, functional SCAN.

As for the calculated formation energy: 0.53 eV/atom.

abc: 3.361 3.361 5.753
angles: 90.00 90.00 90.00
Space group P4/mmm (No. 123)
Inequivalent atoms, fractional coordinates:
Fe: 0.000 0.000 0.212 x2
Ag: 0.500 0.500 0.000 x1
Pb: 0.500 0.500 0.500 x1